# 1
Below is a relaxed Ir2NCl crystal, with properties calculated at the PBE level.

Lattice parameters (Å, degrees): 5.8940 5.8940 5.8940 90.00 90.00 90.00
Last column: nearest neighbours and their distance in Å.
Space group Fm-3m (No. 225)
One atom of each set of equivalent atoms:
Ir: 0.2500 0.2500 0.2500  4 Cl 2.55, 4 N 2.55
N: 0.0000 0.0000 0.0000  8 Ir 2.55
Cl: 0.0000 0.0000 0.5000  8 Ir 2.55

Computed properties:
Energy relative to the lowest polymorph listed for this composition = 966 meV per atom
Raw formation energy = 1764 meV/atom
D(E_F) = 1.29 states/eV per atom

=====

# 2
Below is a relaxed YZrAu2S crystal, with properties calculated at the PBE level.

Lattice parameters (Å, degrees): 5.1884 5.1884 5.9327 90.00 90.00 90.00
Last column: nearest neighbours and their distance in Å.
Space group P4/mmm (No. 123)
One atom of each set of equivalent atoms:
Y: 0.0000 0.0000 0.0000  4 Au 2.59
Zr: 0.0000 0.0000 0.5000  2 Y 2.97
Au: 0.0000 0.5000 0.0000  2 Y 2.59
S: 0.5000 0.5000 0.5000  4 Zr 3.67, 8 Au 3.94

Computed properties:
Raw formation energy = 1054 meV/atom
D(E_F) = 1.07 states/eV per atom

=====

# 3
Below is a relaxed BaAcGaAu crystal, with properties calculated at the PBE level.

Lattice parameters (Å, degrees): 7.9692 7.9692 7.9692 90.00 90.00 90.00
Last column: nearest neighbours and their distance in Å.
Space group F-43m (No. 216)
One atom of each set of equivalent atoms:
Ba: 0.0000 0.0000 0.0000  4 Au 3.45, 4 Ga 3.45
Ac: 0.0000 0.0000 0.5000  4 Ga 3.45, 4 Au 3.45
Ga: 0.2500 0.2500 0.2500  4 Ba 3.45, 4 Ac 3.45
Au: 0.2500 0.2500 0.7500  4 Ac 3.45, 4 Ba 3.45

Computed properties:
Formation energy = -0.52 eV per atom
D(E_F) = 0.58 states/eV per atom

=====

# 4
Below is a relaxed Pr4HN3 crystal, with properties calculated at the PBE level.

Lattice parameters (Å, degrees): 5.2092 5.2092 5.2092 90.00 90.00 90.00
Last column: nearest neighbours and their distance in Å.
Space group Pm-3m (No. 221)
One atom of each set of equivalent atoms:
Pr: 0.0000 0.0000 0.0000  6 N 2.60
Pr: 0.0000 0.5000 0.5000  2 H 2.60, 4 N 2.60
H: 0.5000 0.5000 0.5000  6 Pr 2.60
N: 0.0000 0.0000 0.5000  6 Pr 2.60

Computed properties:
Electronic total energy = -55.30 eV per cell
D(E_F) = 0.69 states/eV per atom

=====

# 5
Below is a relaxed LaAg2Ir crystal, with properties calculated at the PBE level.

Lattice parameters (Å, degrees): 2.9772 2.9772 31.2344 90.00 90.00 120.00
Last column: nearest neighbours and their distance in Å.
Space group R-3m (No. 166, hexagonal axes)
One atom of each set of equivalent atoms:
La: 0.0000 0.0000 0.0000  6 La 2.98
Ag: 0.0000 0.0000 0.2403  3 Ir 2.87, 6 Ag 2.98
Ir: 0.0000 0.0000 0.5000  6 Ag 2.87, 6 Ir 2.98

Computed properties:
Energy relative to the lowest polymorph listed for this composition = 722 meV per atom
Formation energy = 0.46 eV per atom
D(E_F) = 0.84 states/eV per atom

=====

# 6
Below is a relaxed KPuCuSe2 crystal, with properties calculated at the PBE level.

Lattice parameters (Å, degrees): 7.8749 4.9379 8.0048 90.00 101.63 90.00
Last column: nearest neighbours and their distance in Å.
Space group P2/c (No. 13)
One atom of each set of equivalent atoms:
K: 0.0000 0.2003 0.2500  6 Se 3.36-3.49
Pu: 0.5000 0.4849 0.7500  4 Se 2.92-2.94, 4 Cu 3.12-3.24
Cu: 0.5000 0.0000 0.0000  2 Se 2.31
Se: 0.2609 0.2811 0.9595  1 Cu 2.31

Computed properties:
Raw formation energy = -868 meV/atom
D(E_F) = 2.65 states/eV per atom

=====

# 7
Below is a relaxed SiRuPb crystal, with properties calculated at the PBE level.

Lattice parameters (Å, degrees): 4.0626 4.0626 4.2674 90.00 90.00 120.00
Last column: nearest neighbours and their distance in Å.
Space group P-6m2 (No. 187)
One atom of each set of equivalent atoms:
Si: 0.0000 0.0000 0.0000  3 Ru 2.35
Ru: 0.3333 0.6667 0.0000  3 Si 2.35
Pb: 0.6667 0.3333 0.5000  6 Si 3.17, 6 Ru 3.17

Computed properties:
Raw formation energy = 212 meV/atom
D(E_F) = 1.02 states/eV per atom

=====

# 8
Below is a relaxed AlTlO2 crystal, with properties calculated at the PBE level.

Lattice parameters (Å, degrees): 3.4439 3.4439 4.8696 90.00 90.00 90.00
Last column: nearest neighbours and their distance in Å.
Space group P4/mmm (No. 123)
One atom of each set of equivalent atoms:
Al: 0.0000 0.0000 0.0000  6 O 2.43-2.44
Tl: 0.5000 0.5000 0.5000  6 O 2.43-2.44
O: 0.0000 0.0000 0.5000  2 Al 2.43, 4 Tl 2.44
O: 0.5000 0.5000 0.0000  2 Tl 2.43, 4 Al 2.44

Computed properties:
Energy relative to the lowest polymorph listed for this composition = 1490 meV per atom
Raw formation energy = -639 meV/atom
D(E_F) = 0.43 states/eV per atom